# 1
YCr2P: optimized geometry, GGA-PBE.

Geometry as POSCAR:
```
YCr2P
1.0
1.9671 1.1357 4.9981
-1.9671 1.1357 4.9981
0.0000 -2.2714 4.9981
Y Cr P
1 2 1
Direct
0.0000 0.0000 0.0000
0.2019 0.2019 0.2019
0.5002 0.5002 0.5002
0.8004 0.8004 0.8004
```

Calculated values
ΔH_f (0 K), eV/atom: -0.430
Total magnetization, μB per formula unit: 0.0

# 2
Ca2TlOs: optimized geometry, GGA-PBE.

Geometry as POSCAR:
```
Ca2TlOs
1.0
3.4376 -3.4431 0.0000
3.4376 3.4431 0.0000
0.0000 0.0000 3.9627
Ca Tl Os
2 1 1
Direct
0.0000 0.5000 0.0000
0.5000 0.0000 0.0000
0.0000 0.0000 0.5000
0.5000 0.5000 0.5000
```

Calculated values
ΔH_f (0 K), eV/atom: 0.317
ΔE to the lowest computed polymorph, meV per atom: 94
Total magnetization, μB per formula unit: 0.0

> The highest ΔH_f (0 K) belongs to which entry?

Ca2TlOs